Record 1
FeHgOs2: optimized geometry, GGA-PBE.

```
FeHgOs2
1.0
-3.631 3.631 2.511
3.631 -3.631 2.511
3.631 3.631 -2.511
Fe Hg Os
2 2 4
Cartesian
0.000 0.000 0.000
0.000 3.631 1.255
3.631 0.000 1.255
0.000 0.000 2.511
5.447 1.368 -0.628
1.368 1.816 0.628
-1.816 2.264 1.883
2.264 1.816 3.139
```

Summary:
Magnetic moment = 3.23 μB per cell
VASP energy = -6.755 eV/atom
ΔH_f (0 K) = 1.0511 eV/atom

=====

Record 2
FeHgOs2: optimized geometry, GGA-PBE.

```
FeHgOs2
1.0
2.918 0.000 0.000
0.000 2.918 0.000
0.000 0.000 7.177
Fe Hg Os
1 1 2
Cartesian
0.000 0.000 0.000
0.000 0.000 3.589
1.459 1.459 1.435
1.459 1.459 5.743
```

Summary:
Magnetic moment = 2.05 μB per cell
VASP energy = -7.205 eV/atom
ΔH_f (0 K) = 0.6014 eV/atom

=====

Record 3
Fe2HgOs: optimized geometry, GGA-PBE.

```
Fe2HgOs
1.0
4.487 -1.382 0.000
4.487 1.382 0.000
-0.984 0.000 4.700
Fe Hg Os
2 1 1
Cartesian
0.000 0.000 0.000
6.367 0.000 1.117
1.426 0.000 3.489
3.847 0.000 2.005
```

Summary:
Magnetic moment = 4.41 μB per cell
VASP energy = -6.623 eV/atom
ΔH_f (0 K) = 0.4916 eV/atom

=====

Record 4
FeHg3Os: optimized geometry, GGA-PBE.

```
FeHg3Os
1.0
5.236 0.000 0.000
0.000 5.236 0.000
0.000 0.000 5.236
Fe Hg Os
1 3 1
Cartesian
0.000 0.000 0.000
0.000 2.618 2.618
2.618 0.000 2.618
2.618 2.618 0.000
2.618 2.618 2.618
```

Summary:
Magnetic moment = 5.08 μB per cell
VASP energy = -2.736 eV/atom
ΔH_f (0 K) = 1.3832 eV/atom
Distance to the lowest polymorph of the same formula = 0.0 kJ/mol of atoms

=====

Record 5
FeHgOs2: optimized geometry, GGA-PBE.

```
FeHgOs2
1.0
-1.944 1.944 4.015
1.944 -1.944 4.015
1.944 1.944 -4.015
Fe Hg Os
1 1 2
Cartesian
0.000 0.000 0.000
0.000 0.000 4.015
1.944 0.000 2.008
0.000 1.944 2.008
```

Summary:
Magnetic moment = 1.94 μB per cell
VASP energy = -7.013 eV/atom
ΔH_f (0 K) = 0.7927 eV/atom

=====

Record 6
FeHgOs2: optimized geometry, GGA-PBE.

```
FeHgOs2
1.0
3.922 0.000 0.000
0.000 3.922 0.000
0.000 0.000 3.965
Fe Hg Os
1 1 2
Cartesian
0.000 0.000 0.000
1.961 1.961 0.000
0.000 1.961 1.982
1.961 0.000 1.982
```

Summary:
Magnetic moment = 3.60 μB per cell
VASP energy = -6.970 eV/atom
ΔH_f (0 K) = 0.8361 eV/atom

=====

Record 7
FeHg2Os: optimized geometry, GGA-PBE.

```
FeHg2Os
1.0
1.457 0.841 9.307
-1.457 0.841 9.307
0.000 -1.682 9.307
Fe Hg Os
1 2 1
Cartesian
0.000 0.000 0.000
0.000 0.000 7.047
0.000 0.000 20.874
0.000 0.000 13.961
```

Summary:
Magnetic moment = 2.70 μB per cell
VASP energy = -4.323 eV/atom
ΔH_f (0 K) = 0.7511 eV/atom
Distance to the lowest polymorph of the same formula = 30.8 kJ/mol of atoms

=====

Record 8
Fe2HgOs: optimized geometry, GGA-PBE.

```
Fe2HgOs
1.0
4.036 0.000 0.000
0.000 4.036 0.000
0.000 0.000 3.618
Fe Hg Os
2 1 1
Cartesian
0.000 2.018 0.000
2.018 0.000 0.000
0.000 0.000 1.809
2.018 2.018 1.809
```

Summary:
Magnetic moment = 6.34 μB per cell
VASP energy = -6.571 eV/atom
ΔH_f (0 K) = 0.5436 eV/atom

=====

Record 9
Fe2HgOs: optimized geometry, GGA-PBE.

```
Fe2HgOs
1.0
1.390 0.803 8.937
-1.390 0.803 8.937
0.000 -1.605 8.937
Fe Hg Os
2 1 1
Cartesian
0.000 0.000 6.535
0.000 0.000 20.277
0.000 0.000 0.000
0.000 0.000 13.406
```

Summary:
Magnetic moment = 5.24 μB per cell
VASP energy = -6.681 eV/atom
ΔH_f (0 K) = 0.4332 eV/atom

=====

Record 10
FeHgOs2: optimized geometry, GGA-PBE.

```
FeHgOs2
1.0
-1.446 2.327 4.623
1.446 -2.327 4.623
1.446 2.327 -4.623
Fe Hg Os
1 1 2
Cartesian
0.000 0.000 0.000
0.000 2.327 2.223
1.446 0.000 2.182
0.000 0.000 4.338
```

Summary:
Magnetic moment = 2.80 μB per cell
VASP energy = -7.014 eV/atom
ΔH_f (0 K) = 0.7922 eV/atom

=====

Record 11
FeHg2Os: optimized geometry, GGA-PBE.

```
FeHg2Os
1.0
1.435 0.829 9.842
-1.435 0.829 9.842
0.000 -1.657 9.842
Fe Hg Os
1 2 1
Cartesian
0.000 0.000 0.000
0.000 0.000 15.235
0.000 0.000 22.048
0.000 0.000 7.973
```

Summary:
Magnetic moment = 2.03 μB per cell
VASP energy = -4.574 eV/atom
ΔH_f (0 K) = 0.4999 eV/atom
Distance to the lowest polymorph of the same formula = 6.5 kJ/mol of atoms

=====

Record 12
FeHgOs2: optimized geometry, GGA-PBE.

```
FeHgOs2
1.0
2.809 0.000 0.000
0.000 3.835 0.000
0.000 0.000 5.774
Fe Hg Os
1 1 2
Cartesian
0.000 0.000 0.000
1.404 1.918 1.504
0.000 0.000 3.290
1.404 1.918 4.404
```

Summary:
Magnetic moment = 2.84 μB per cell
VASP energy = -7.309 eV/atom
ΔH_f (0 K) = 0.4966 eV/atom